(1)
Density functional theory data (PBE) for crystalline KPH3O3F at its relaxed geometry.

```
data_KPH3O3F
_chemical_formula_sum 'K4 P4 H12 O12 F4'
_symmetry_space_group_name_H-M 'P 1 21/c 1'
_symmetry_Int_Tables_number 14
_cell_length_a 6.585
_cell_length_b 11.236
_cell_length_c 8.019
_cell_angle_alpha 90.00
_cell_angle_beta 125.63
_cell_angle_gamma 90.00
loop_
_symmetry_equiv_pos_as_xyz
'x,y,z'
'-x,-y,-z'
'-x,y+1/2,-z+1/2'
'x,-y+1/2,z+1/2'
loop_
_atom_site_label
_atom_site_fract_x
_atom_site_fract_y
_atom_site_fract_z
K1 0.068 0.181 0.439
P1 0.407 0.044 0.203
H1 0.280 0.552 0.717
H2 0.284 0.043 0.875
H3 0.399 0.710 0.054
O1 0.239 0.081 0.968
O2 0.332 0.504 0.224
O3 0.396 0.147 0.322
F1 0.232 0.740 0.456
```

N(E_F)	0.000	states/eV per cell
final energy	-5.3845	eV/atom

(2)
Density functional theory data (PBE) for crystalline K2TeH6O6F2 at its relaxed geometry.

```
data_K2TeH6O6F2
_chemical_formula_sum 'K8 Te4 H24 O24 F8'
_symmetry_space_group_name_H-M 'P b c a'
_symmetry_Int_Tables_number 61
_cell_length_a 7.372
_cell_length_b 11.646
_cell_length_c 10.485
_cell_angle_alpha 90.00
_cell_angle_beta 90.00
_cell_angle_gamma 90.00
loop_
_symmetry_equiv_pos_as_xyz
'x,y,z'
'-x,-y,-z'
'-x+1/2,-y,z+1/2'
'x+1/2,y,-z+1/2'
'x+1/2,-y+1/2,-z'
'-x+1/2,y+1/2,z'
'-x,y+1/2,-z+1/2'
'x,-y+1/2,z+1/2'
loop_
_atom_site_label
_atom_site_fract_x
_atom_site_fract_y
_atom_site_fract_z
K1 0.217 0.221 0.223
Te1 0.000 0.000 0.000
H1 0.006 0.593 0.712
H2 0.140 0.570 0.960
H3 0.143 0.020 0.580
O1 0.018 0.628 0.625
O2 0.065 0.599 0.372
O3 0.219 0.545 0.037
F1 0.007 0.098 0.629
```

N(E_F)	0.000	states/eV per cell
final energy	-4.8350	eV/atom

(3)
Density functional theory data (PBE) for crystalline K4Ti2H2O5F8 at its relaxed geometry.

```
data_K4Ti2H2O5F8
_chemical_formula_sum 'K16 Ti8 H8 O20 F32'
_symmetry_space_group_name_H-M 'C 1 2/c 1'
_symmetry_Int_Tables_number 15
_cell_length_a 17.674
_cell_length_b 6.716
_cell_length_c 12.552
_cell_angle_alpha 90.00
_cell_angle_beta 119.61
_cell_angle_gamma 90.00
loop_
_symmetry_equiv_pos_as_xyz
'x,y,z'
'-x,-y,-z'
'-x,y,-z+1/2'
'x,-y,z+1/2'
'x+1/2,y+1/2,z'
'-x+1/2,-y+1/2,-z'
'-x+1/2,y+1/2,-z+1/2'
'x+1/2,-y+1/2,z+1/2'
loop_
_atom_site_label
_atom_site_fract_x
_atom_site_fract_y
_atom_site_fract_z
K1 0.074 0.239 0.121
K2 0.172 0.255 0.824
Ti1 0.174 0.335 0.533
H1 0.043 0.083 0.310
O1 0.000 0.011 0.750
O2 0.083 0.355 0.575
O3 0.108 0.148 0.569
F1 0.097 0.322 0.358
F2 0.163 0.374 0.022
F3 0.230 0.081 0.516
F4 0.234 0.136 0.303
```

N(E_F)	0.000	states/eV per cell
final energy	-5.6324	eV/atom